Entry 1:
First-principles (PBE) data for an optimized crystal structure of CsZnNi2Ge, as listed in Alexandria via LeMat-Bulk.

Unit cell a=4.8020 b=4.8020 c=6.0394 alpha=90.00 beta=90.00 gamma=90.00
Closest atoms and distances in Å follow each position.
Fractional positions:
Cs1 0.0000 0.0000 0.0000  4 Ni 2.40
Zn1 0.5000 0.5000 0.5000  4 Ge 3.40
Ni1 0.0000 0.5000 0.0000  2 Cs 2.40
Ni2 0.5000 0.0000 0.0000  2 Cs 2.40
Ge1 0.0000 0.0000 0.5000  2 Cs 3.02

Output
E_form	9.64	eV/f.u.
V	139	Å³ per cell
total magnetization	0.0	μB/f.u.

***

Entry 2:
First-principles (PBE) data for an optimized crystal structure of CsNpGe, as listed in Alexandria via LeMat-Bulk.

Unit cell a=15.1412 b=15.1412 c=15.1412 alpha=15.32 beta=15.32 gamma=15.32
Closest atoms and distances in Å follow each position.
Fractional positions:
Cs1 0.1095 0.1095 0.1095  3 Ge 3.50
Cs2 0.8905 0.8905 0.8905  3 Ge 3.50
Np1 0.3219 0.3219 0.3219  3 Np 2.55, 1 Ge 2.82
Np2 0.6781 0.6781 0.6781  3 Np 2.55, 1 Ge 2.82
Ge1 0.3847 0.3847 0.3847  4 Np 2.82-2.94
Ge2 0.6153 0.6153 0.6153  4 Np 2.82-2.94

Output
E_form	0.44	eV/f.u.
V	211	Å³ per cell
total magnetization	1.7	μB/f.u.

***

Quick rundown of uncorrected energy, same order as above: -8.7 -35.9 eV/cell
Quick rundown of density, same order as above: 4.6 7.0 g/cm³